# 1
An optimized crystal structure of Tb3NdHo6, computed with PBE-GGA.

Cell lengths 6.184, 10.945, 10.945 Å; angles 119.54, 90.00, 90.00 degrees
Fractional coordinates of all 20 atoms:
Ho (0.532, 0.618, 0.712)
Tb (0.459, 0.282, 0.064)
Ho (0.032, 0.382, 0.288)
Tb (0.459, 0.936, 0.718)
Ho (0.913, 0.046, 0.954)
Nd (0.649, 0.793, 0.207)
Tb (0.959, 0.064, 0.282)
Tb (0.959, 0.718, 0.936)
Ho (0.640, 0.284, 0.716)
Ho (0.866, 0.460, 0.039)
Ho (0.413, 0.954, 0.046)
Tb (0.070, 0.391, 0.609)
Ho (0.366, 0.540, 0.961)
Nd (0.149, 0.207, 0.793)
Ho (0.866, 0.961, 0.540)
Ho (0.032, 0.712, 0.618)
Tb (0.570, 0.609, 0.391)
Ho (0.140, 0.716, 0.284)
Ho (0.532, 0.288, 0.382)
Ho (0.366, 0.039, 0.460)

Summary:
Total moment   0.00 μB/cell
Calculated volume   32.22 Å³ per atom
E above lowest polymorph   0.000 eV per atom
Energy relative to the elements   0.149 eV per atom

---

# 2
An optimized crystal structure of NdTm3Hg6, computed with PBE-GGA.

Cell lengths 5.159, 9.135, 11.147 Å; angles 107.00, 90.00, 90.00 degrees
Fractional coordinates of all 20 atoms:
Tm (0.250, 0.768, 0.997)
Hg (0.250, 0.258, 0.523)
Hg (0.750, 0.937, 0.089)
Tm (0.750, 0.232, 0.003)
Nd (0.250, 0.933, 0.615)
Hg (0.750, 0.361, 0.290)
Tm (0.250, 0.514, 0.388)
Hg (0.750, 0.537, 0.905)
Hg (0.750, 0.858, 0.791)
Tm (0.750, 0.647, 0.193)
Hg (0.750, 0.742, 0.477)
Tm (0.750, 0.486, 0.612)
Hg (0.250, 0.823, 0.307)
Tm (0.250, 0.353, 0.807)
Nd (0.750, 0.067, 0.385)
Hg (0.250, 0.639, 0.710)
Hg (0.250, 0.063, 0.911)
Hg (0.750, 0.177, 0.693)
Hg (0.250, 0.463, 0.095)
Hg (0.250, 0.142, 0.209)

Summary:
Total moment   0.00 μB/cell
Calculated volume   25.12 Å³ per atom
Energy relative to the elements   -0.420 eV per atom